# 1
Material: NdAg4Pd
Method: DFT, PBE-GGA
State: optimized geometry

extended XYZ file:
```
6
Lattice="-3.848 -1.451 3.697 0.465 -4.778 2.745 1.205 0.017 5.397" Properties=species:S:1:pos:R:3 pbc="T T T"
Nd -0.545 -1.553 2.960
Pd 0.000 0.000 0.000
Ag -1.968 -3.895 4.695
Ag -1.596 -1.486 6.028
Ag -1.363 -3.886 7.406
Ag 0.571 -3.157 5.549
```

Output
Total magnetization (μB per formula unit): 0.00
Energy relative to the elements (eV per atom): -0.2111
SG: F-43m

=====

# 2
Material: Nd3AgPd5
Method: DFT, PBE-GGA
State: optimized geometry

extended XYZ file:
```
18
Lattice="8.487 0.000 0.000 0.000 8.487 0.000 -4.243 -4.243 5.676" Properties=species:S:1:pos:R:3 pbc="T T T"
Nd 5.355 1.111 0.000
Nd 3.132 7.376 0.000
Nd 7.376 5.355 0.000
Nd 1.111 3.132 0.000
Nd 0.000 0.000 2.838
Nd 4.243 4.243 2.838
Ag 4.243 0.000 2.838
Ag 0.000 4.243 2.838
Pd -2.597 1.646 4.079
Pd 2.597 -1.646 4.079
Pd -1.646 -2.597 4.079
Pd 1.646 2.597 4.079
Pd 6.841 2.597 1.597
Pd 1.646 5.890 1.597
Pd 5.890 6.841 1.597
Pd 2.597 1.646 1.597
Pd 4.243 4.243 0.000
Pd 0.000 0.000 0.000
```

Output
Total magnetization (μB per formula unit): 0.00
Energy relative to the elements (eV per atom): -0.4263
SG: I4/mcm

=====

# 3
Material: PrNdAgPd
Method: DFT, PBE-GGA
State: optimized geometry

extended XYZ file:
```
4
Lattice="3.932 0.000 0.000 0.000 4.811 0.000 -1.966 0.000 5.556" Properties=species:S:1:pos:R:3 pbc="T T T"
Pr 1.966 2.406 4.001
Nd 0.000 0.000 1.532
Ag 0.000 0.000 4.673
Pd 1.966 2.406 0.906
```

Output
Total magnetization (μB per formula unit): 0.00
Energy relative to the elements (eV per atom): -0.5056
Offset from the most stable computed form (eV/atom): 0.0000
SG: Amm2

=====

# 4
Material: PrNdAgPd
Method: DFT, PBE-GGA
State: optimized geometry

extended XYZ file:
```
4
Lattice="5.238 0.000 0.000 2.619 4.536 0.000 2.619 1.512 4.277" Properties=species:S:1:pos:R:3 pbc="T T T"
Pr 0.000 0.000 0.000
Nd 5.238 3.024 2.138
Pd 7.857 4.536 3.208
Ag 2.619 1.512 1.069
```

Output
Total magnetization (μB per formula unit): 0.00
Energy relative to the elements (eV per atom): -0.4720
Offset from the most stable computed form (eV/atom): 0.0336
SG: F-43m

=====

# 5
Material: NdAgPdPt
Method: DFT, PBE-GGA
State: optimized geometry

extended XYZ file:
```
4
Lattice="4.846 0.000 0.000 2.423 4.197 0.000 2.423 1.399 3.957" Properties=species:S:1:pos:R:3 pbc="T T T"
Pd 0.000 0.000 0.000
Nd 2.423 1.399 0.989
Ag 7.269 4.197 2.967
Pt 4.846 2.798 1.978
```

Output
Total magnetization (μB per formula unit): 0.00
Energy relative to the elements (eV per atom): -0.5739
SG: F-43m

=====

# 6
Material: NdPuAgPd
Method: DFT, PBE-GGA
State: optimized geometry

extended XYZ file:
```
4
Lattice="5.156 0.000 0.000 2.578 4.465 0.000 2.578 1.488 4.210" Properties=species:S:1:pos:R:3 pbc="T T T"
Nd 5.156 2.977 2.105
Pd 7.734 4.465 3.157
Ag 2.578 1.488 1.052
Pu 0.000 0.000 0.000
```

Output
Total magnetization (μB per formula unit): 5.90
Energy relative to the elements (eV per atom): -0.2804
SG: F-43m

=====

# 7
Material: NdAgPdRh
Method: DFT, PBE-GGA
State: optimized geometry

extended XYZ file:
```
4
Lattice="4.779 0.000 0.000 2.389 4.139 0.000 2.389 1.380 3.902" Properties=species:S:1:pos:R:3 pbc="T T T"
Rh 0.000 0.000 0.000
Nd 7.168 4.139 2.926
Pd 4.779 2.759 1.951
Ag 2.389 1.380 0.975
```

Output
Total magnetization (μB per formula unit): 0.00
Energy relative to the elements (eV per atom): -0.3970
SG: F-43m

=====

# 8
Material: NdAgSbPd
Method: DFT, PBE-GGA
State: optimized geometry

extended XYZ file:
```
4
Lattice="4.998 0.000 0.000 2.499 4.329 0.000 2.499 1.443 4.081" Properties=species:S:1:pos:R:3 pbc="T T T"
Sb 4.998 2.886 2.041
Nd 0.000 0.000 0.000
Pd 7.497 4.329 3.061
Ag 2.499 1.443 1.020
```

Output
Total magnetization (μB per formula unit): 0.00
Uncorrected formation energy (eV/atom): -0.568
SG: F-43m

=====

# 9
Material: NdScAgPd
Method: DFT, PBE-GGA
State: optimized geometry

extended XYZ file:
```
4
Lattice="-2.085 -3.721 -2.635 2.825 -3.810 -1.625 -0.504 -4.547 2.051" Properties=species:S:1:pos:R:3 pbc="T T T"
Sc 0.118 -6.039 -1.104
Nd 0.000 0.000 0.000
Pd 0.177 -9.059 -1.656
Ag 0.059 -3.020 -0.552
```

Output
Total magnetization (μB per formula unit): 0.00
Energy relative to the elements (eV per atom): -0.4784
SG: F-43m

=====

# 10
Material: Nd3Si6AgPd2
Method: DFT, PBE-GGA
State: optimized geometry

extended XYZ file:
```
12
Lattice="5.892 0.000 0.000 -2.946 5.103 0.000 0.000 0.000 8.198" Properties=species:S:1:pos:R:3 pbc="T T T"
Nd 0.000 3.402 5.062
Nd 2.946 1.701 3.136
Nd 0.000 0.000 0.000
Si 1.210 4.100 2.264
Si 0.000 2.005 2.264
Si -1.210 4.100 2.264
Si 2.946 3.098 5.934
Si 1.736 1.003 5.934
Si 4.156 1.003 5.934
Ag 0.000 0.000 4.099
Pd 2.946 1.701 8.011
Pd 0.000 3.402 0.188
```

Output
Total magnetization (μB per formula unit): 0.00
Uncorrected formation energy (eV/atom): -0.374
SG: P-3m1

=====

# 11
Material: NdSmAgPd
Method: DFT, PBE-GGA
State: optimized geometry

extended XYZ file:
```
4
Lattice="3.880 0.000 0.000 0.000 4.789 0.000 -1.940 0.000 5.495" Properties=species:S:1:pos:R:3 pbc="T T T"
Nd 1.940 2.395 3.952
Sm 0.000 0.000 1.515
Ag 0.000 0.000 4.615
Pd 1.940 2.395 0.908
```

Output
Total magnetization (μB per formula unit): 0.00
Energy relative to the elements (eV per atom): -0.5281
Offset from the most stable computed form (eV/atom): 0.0000
SG: Amm2

=====

# 12
Material: NdSmAgPd
Method: DFT, PBE-GGA
State: optimized geometry

extended XYZ file:
```
4
Lattice="-3.968 1.654 2.904 0.389 -0.013 5.173 0.369 4.483 2.585" Properties=species:S:1:pos:R:3 pbc="T T T"
Pd -2.408 4.593 7.997
Nd -1.605 3.062 5.331
Ag -0.803 1.531 2.666
Sm 0.000 0.000 0.000
```

Output
Total magnetization (μB per formula unit): 0.00
Energy relative to the elements (eV per atom): -0.5018
Offset from the most stable computed form (eV/atom): 0.0264
SG: F-43m

=====

Question: total magnetization of number 7 (NdAgPdRh)?
Answer: 0.00 μB per formula unit

=====

Question: Look up the total magnetization of the sixth one.
Answer: 5.90 μB per formula unit